# PrPu2N3 | Alexandria via LeMat-Bulk | GGA-PBE | relaxed
data_PrPu2N3
_chemical_formula_sum 'Pr4 Pu8 N12'
_cell_length_a 9.5533
_cell_length_b 8.9164
_cell_length_c 4.7581
_cell_angle_alpha 90.00
_cell_angle_beta 90.00
_cell_angle_gamma 90.00
_space_group_name_H-M_alt 'C m c m'
_space_group_IT_number 63
_space_group_name_Hall '-C 2c 2'
loop_
_atom_site_label
_atom_site_fract_x
_atom_site_fract_y
_atom_site_fract_z
Pr1 0.0000 0.1471 0.2500
Pu1 0.1811 0.5000 0.0000
N1 0.0000 0.4041 0.7500
N2 0.1513 0.0930 0.7500
# Crystal system: orthorhombic
# Energy relative to the elements, uncorrected (eV per formula unit): -1.64
# Magnetic moment (μB/cell): 8.29
# E (eV/atom): -10.010

# Zr3Cd4 | Alexandria via LeMat-Bulk | GGA-PBE | relaxed
data_Zr3Cd4
_chemical_formula_sum 'Zr6 Cd8'
_cell_length_a 3.1648
_cell_length_b 3.1648
_cell_length_c 30.6959
_cell_angle_alpha 90.00
_cell_angle_beta 90.00
_cell_angle_gamma 90.00
_space_group_name_H-M_alt 'I 4/m m m'
_space_group_IT_number 139
_space_group_name_Hall '-I 4 2'
loop_
_atom_site_label
_atom_site_fract_x
_atom_site_fract_y
_atom_site_fract_z
Zr1 0.0000 0.0000 0.0000
Zr2 0.0000 0.0000 0.2868
Cd1 0.0000 0.0000 0.1394
Cd2 0.0000 0.0000 0.4298
# Crystal system: tetragonal
# Magnetic moment (μB/cell): 0.00
# E (eV/atom): -4.300

# CuS4 | Alexandria via LeMat-Bulk | GGA-PBE | relaxed
data_CuS4
_chemical_formula_sum 'Cu1 S4'
_cell_length_a 4.4940
_cell_length_b 4.4940
_cell_length_c 4.4940
_cell_angle_alpha 90.00
_cell_angle_beta 90.00
_cell_angle_gamma 90.00
_space_group_name_H-M_alt 'P m -3 m'
_space_group_IT_number 221
_space_group_name_Hall '-P 4 2 3'
loop_
_atom_site_label
_atom_site_fract_x
_atom_site_fract_y
_atom_site_fract_z
Cu1 0.0000 0.0000 0.0000
S1 0.0000 0.0000 0.5000
S2 0.5000 0.5000 0.5000
# Crystal system: cubic
# Energy relative to the elements, uncorrected (eV per formula unit): 4.81
# Magnetic moment (μB/cell): 0.00
# E (eV/atom): -3.159

# CsSr2GaPt | Alexandria via LeMat-Bulk | GGA-PBE | relaxed
data_CsSr2GaPt
_chemical_formula_sum 'Cs1 Sr2 Ga1 Pt1'
_cell_length_a 6.0714
_cell_length_b 6.0714
_cell_length_c 5.0138
_cell_angle_alpha 90.00
_cell_angle_beta 90.00
_cell_angle_gamma 90.00
_space_group_name_H-M_alt 'P 4/m m m'
_space_group_IT_number 123
_space_group_name_Hall '-P 4 2'
loop_
_atom_site_label
_atom_site_fract_x
_atom_site_fract_y
_atom_site_fract_z
Cs1 0.0000 0.0000 0.0000
Sr1 0.0000 0.5000 0.5000
Ga1 0.5000 0.5000 0.0000
Pt1 0.5000 0.5000 0.5000
# Crystal system: tetragonal
# Magnetic moment (μB/cell): 0.01
# E (eV/atom): -2.974

# Pm3HoRh2 | Alexandria via LeMat-Bulk | GGA-PBE | relaxed
data_Pm3HoRh2
_chemical_formula_sum 'Pm12 Ho4 Rh8'
_cell_length_a 6.8290
_cell_length_b 13.7511
_cell_length_c 7.2389
_cell_angle_alpha 90.00
_cell_angle_beta 90.00
_cell_angle_gamma 90.00
_space_group_name_H-M_alt 'I b a m'
_space_group_IT_number 72
_space_group_name_Hall '-I 2 2c'
loop_
_atom_site_label
_atom_site_fract_x
_atom_site_fract_y
_atom_site_fract_z
Pm1 0.0000 0.0000 0.2500
Pm2 0.0000 0.2692 0.2500
Ho1 0.0000 0.5000 0.0000
Rh1 0.2149 0.1363 0.0000
# Crystal system: orthorhombic
# Magnetic moment (μB/cell): 0.00
# E (eV/atom): -6.089

# LaSm2Tm | Alexandria via LeMat-Bulk | GGA-PBE | relaxed
data_LaSm2Tm
_chemical_formula_sum 'La1 Sm2 Tm1'
_cell_length_a 5.1009
_cell_length_b 5.1009
_cell_length_c 5.1655
_cell_angle_alpha 90.00
_cell_angle_beta 90.00
_cell_angle_gamma 90.00
_space_group_name_H-M_alt 'P 4/m m m'
_space_group_IT_number 123
_space_group_name_Hall '-P 4 2'
loop_
_atom_site_label
_atom_site_fract_x
_atom_site_fract_y
_atom_site_fract_z
La1 0.0000 0.0000 0.0000
Sm1 0.0000 0.5000 0.5000
Tm1 0.5000 0.5000 0.0000
# Crystal system: tetragonal
# Magnetic moment (μB/cell): 0.00
# E (eV/atom): -4.686

# Sc2IrAu | Alexandria via LeMat-Bulk | GGA-PBE | relaxed
data_Sc2IrAu
_chemical_formula_sum 'Sc4 Ir2 Au2'
_cell_length_a 4.5450
_cell_length_b 3.2897
_cell_length_c 10.1358
_cell_angle_alpha 90.00
_cell_angle_beta 90.00
_cell_angle_gamma 90.00
_space_group_name_H-M_alt 'A m m 2'
_space_group_IT_number 38
_space_group_name_Hall 'A 2 -2'
loop_
_atom_site_label
_atom_site_fract_x
_atom_site_fract_y
_atom_site_fract_z
Sc1 0.0000 0.0000 0.0000
Sc2 0.5000 0.0000 0.2845
Ir1 0.5000 0.0000 0.5491
Au1 0.0000 0.0000 0.7285
# Crystal system: orthorhombic
# Magnetic moment (μB/cell): 0.00
# E (eV/atom): -7.008

# NdZr2Ir9 | Alexandria via LeMat-Bulk | GGA-PBE | relaxed
data_NdZr2Ir9
_chemical_formula_sum 'Nd3 Zr6 Ir27'
_cell_length_a 5.2761
_cell_length_b 5.2761
_cell_length_c 25.9991
_cell_angle_alpha 90.00
_cell_angle_beta 90.00
_cell_angle_gamma 120.00
_space_group_name_H-M_alt 'R -3 m'
_space_group_IT_number 166
_space_group_name_Hall '-R 3 2"'
loop_
_atom_site_label
_atom_site_fract_x
_atom_site_fract_y
_atom_site_fract_z
Nd1 0.0000 0.0000 0.0000
Zr1 0.0000 0.0000 0.1393
Ir1 0.0000 0.0000 0.3341
Ir2 0.0000 0.0000 0.5000
Ir3 0.0027 0.5014 0.9155
# Crystal system: trigonal
# Magnetic moment (μB/cell): 0.00
# E (eV/atom): -8.997

# Hf4SnRu5 | Alexandria via LeMat-Bulk | GGA-PBE | relaxed
data_Hf4SnRu5
_chemical_formula_sum 'Hf4 Sn1 Ru5'
_cell_length_a 3.2512
_cell_length_b 3.2512
_cell_length_c 16.0898
_cell_angle_alpha 90.00
_cell_angle_beta 90.00
_cell_angle_gamma 90.00
_space_group_name_H-M_alt 'P 4/m m m'
_space_group_IT_number 123
_space_group_name_Hall '-P 4 2'
loop_
_atom_site_label
_atom_site_fract_x
_atom_site_fract_y
_atom_site_fract_z
Hf1 0.0000 0.0000 0.1006
Hf2 0.0000 0.0000 0.3023
Sn1 0.0000 0.0000 0.5000
Ru1 0.5000 0.5000 0.0000
Ru2 0.5000 0.5000 0.2007
Ru3 0.5000 0.5000 0.4002
# Crystal system: tetragonal
# Magnetic moment (μB/cell): 0.00
# E (eV/atom): -9.714

# GdMg3 | Alexandria via LeMat-Bulk | GGA-PBE | relaxed
data_GdMg3
_chemical_formula_sum 'Gd2 Mg6'
_cell_length_a 5.1837
_cell_length_b 5.1837
_cell_length_c 7.3581
_cell_angle_alpha 90.00
_cell_angle_beta 90.00
_cell_angle_gamma 90.00
_space_group_name_H-M_alt 'I 4/m m m'
_space_group_IT_number 139
_space_group_name_Hall '-I 4 2'
loop_
_atom_site_label
_atom_site_fract_x
_atom_site_fract_y
_atom_site_fract_z
Gd1 0.0000 0.0000 0.0000
Mg1 0.0000 0.0000 0.5000
Mg2 0.0000 0.5000 0.2500
# Crystal system: tetragonal
# Magnetic moment (μB/cell): 14.38
# E (eV/atom): -4.807

# Hg2C2O7 | Alexandria via LeMat-Bulk | GGA-PBE | relaxed
data_Hg2C2O7
_chemical_formula_sum 'Hg4 C4 O14'
_cell_length_a 9.2135
_cell_length_b 7.5672
_cell_length_c 4.3649
_cell_angle_alpha 90.00
_cell_angle_beta 110.92
_cell_angle_gamma 90.00
_space_group_name_H-M_alt 'C 1 2/m 1'
_space_group_IT_number 12
_space_group_name_Hall '-C 2y'
loop_
_atom_site_label
_atom_site_fract_x
_atom_site_fract_y
_atom_site_fract_z
Hg1 0.0000 0.2190 0.0000
C1 0.1994 0.5000 0.5930
O1 0.0000 0.0000 0.5000
O2 0.0960 0.5000 0.3026
O3 0.2464 0.3509 0.7386
# Crystal system: monoclinic
# Energy relative to the elements, uncorrected (eV per formula unit): -5.94
# Magnetic moment (μB/cell): 4.03
# E (eV/atom): -5.427

# BaNaZn | Alexandria via LeMat-Bulk | GGA-PBE | relaxed
data_BaNaZn
_chemical_formula_sum 'Ba4 Na4 Zn4'
_cell_length_a 15.8363
_cell_length_b 4.6376
_cell_length_c 6.3208
_cell_angle_alpha 90.00
_cell_angle_beta 103.29
_cell_angle_gamma 90.00
_space_group_name_H-M_alt 'C 1 2/m 1'
_space_group_IT_number 12
_space_group_name_Hall '-C 2y'
loop_
_atom_site_label
_atom_site_fract_x
_atom_site_fract_y
_atom_site_fract_z
Ba1 0.1373 0.0000 0.3218
Na1 0.0845 0.5000 0.7854
Zn1 0.2381 0.0000 0.8927
# Crystal system: monoclinic
# Magnetic moment (μB/cell): 0.00
# E (eV/atom): -1.576